# BaCd2HgGe2

An optimized crystal structure of BaCd2HgGe2 (PBE, Alexandria via LeMat-Bulk).

```
BaCd2HgGe2
1.0
-2.2789 -4.2428 0.3101
6.0281 -3.3903 -2.0861
2.8877 -0.8412 9.7116
Ge Cd Hg Ba
4 4 2 2
Cartesian
2.2760 -3.5080 6.2822 Ge
6.8200 -3.1955 6.3972 Ge
4.3610 -4.9662 1.6534 Ge
2.0959 -1.0360 1.2283 Ge
6.2954 -5.7160 5.6102 Cd
0.3416 -2.7583 2.3254 Cd
4.4923 -2.3312 1.1180 Cd
4.4235 -1.9003 6.5076 Cd
0.0000 0.0000 0.0000 Hg
3.3185 -4.2371 3.9678 Hg
1.8746 -3.8166 -0.8880 Ba
1.4439 -0.4206 4.8558 Ba
```

Output
**E**: -2.41 eV/atom
**Calculated volume**: 29.537 Å³ per atom
**N(E_F)**: 1.18 states/eV/f.u.
**E_form**: -0.19 eV per atom

---

# LiHf2Tl2S6

An optimized crystal structure of LiHf2Tl2S6 (PBE, Alexandria via LeMat-Bulk).

```
LiHf2Tl2S6
1.0
6.5685 -0.0728 0.0769
-3.3098 5.6741 0.0769
-1.1386 -1.9571 7.1602
S Tl Hf Li
6 2 2 1
Cartesian
0.5694 0.9787 2.2680 S
-1.7850 0.9979 5.0447 S
1.5507 2.6655 5.0460 S
3.9051 2.6463 2.2693 S
1.7497 -1.0585 5.0447 S
0.3703 4.7027 2.2693 S
-1.7275 4.7536 0.0769 Tl
4.9862 0.8477 0.0769 Tl
-0.5826 2.7777 3.6570 Hf
2.7026 0.8665 3.6570 Hf
-0.5693 -0.9786 3.5801 Li
```

Output
**E**: -5.79 eV/atom
**Formation energy without anion corrections**: -1124 meV/atom
**Calculated volume**: 24.284 Å³ per atom
**N(E_F)**: 4.33 states/eV/f.u.

---

# SrAsP2

An optimized crystal structure of SrAsP2 (PBE, Alexandria via LeMat-Bulk).

```
SrAsP2
1.0
-5.5457 0.4124 0.3440
-2.3041 -5.0436 -0.5445
3.3739 3.1173 3.1532
P As Sr
2 1 1
Cartesian
-0.1485 -0.0876 -0.0038 P
-0.9706 -1.8514 1.2659 P
-3.4300 0.3819 1.6887 As
-3.8518 -2.2725 -0.0984 Sr
```

Output
**E**: -4.53 eV/atom
**Calculated volume**: 21.101 Å³ per atom
**N(E_F)**: 1.95 states/eV/f.u.
**E_form**: -0.24 eV per atom

---

# Pu4GeAu

An optimized crystal structure of Pu4GeAu (PBE, Alexandria via LeMat-Bulk).

```
Pu4GeAu
1.0
-0.5339 2.5934 2.8210
-3.6913 0.4149 -1.0800
-2.4882 -6.8826 5.8564
Au Pu Ge
1 4 1
Cartesian
0.0000 0.0000 0.0000 Au
-4.1858 -4.2327 5.7522 Pu
-0.8630 -2.3843 2.0286 Pu
-5.3164 -4.0833 2.7478 Pu
-2.5274 0.3585 1.8452 Pu
-3.3566 -1.9371 3.7987 Ge
```

Output
**E**: -11.11 eV/atom
**Excess energy over the best structure of this formula in the dataset**: 0 meV/atom
**Calculated volume**: 23.381 Å³ per atom
**N(E_F)**: 21.83 states/eV/f.u.
**E_form**: -0.24 eV per atom

---

# PmLuOs

An optimized crystal structure of PmLuOs (PBE, Alexandria via LeMat-Bulk).

```
PmLuOs
1.0
-1.8018 -2.7531 -0.8661
1.0195 -1.5623 2.8453
-4.8297 4.5694 2.2053
Pm Lu Os
1 1 1
Cartesian
-1.2137 -1.7777 1.4930 Pm
-3.4093 1.5749 2.0863 Lu
-5.0347 -0.0126 3.8312 Os
```

Output
**E**: -7.03 eV/atom
**Excess energy over the best structure of this formula in the dataset**: 0 meV/atom
**Calculated volume**: 25.385 Å³ per atom
**N(E_F)**: 1.43 states/eV/f.u.
**E_form**: -0.20 eV per atom

---

# Y6ErTh3

An optimized crystal structure of Y6ErTh3 (PBE, Alexandria via LeMat-Bulk).

```
Y6ErTh3
1.0
-6.3059 0.8806 -0.5309
1.0862 1.2963 -10.7526
-1.7320 -9.9369 4.0912
Y Er Th
12 2 6
Cartesian
-3.4458 -8.3773 -2.0539 Y
-0.5072 -1.5219 -6.9426 Y
-3.1369 -4.2446 1.1322 Y
-5.4328 -3.2895 -8.4607 Y
-4.0533 -5.7294 -4.1285 Y
-1.3581 1.2009 -10.3919 Y
-5.1239 0.8432 -5.2746 Y
-0.6698 -5.2506 -5.0774 Y
-5.0042 -6.4392 -0.1284 Y
-7.1176 -8.7481 3.0714 Y
-0.4546 -2.3719 -2.8581 Y
-3.8382 -2.8506 -1.9091 Y
-3.4207 -0.3480 -8.1829 Er
-1.9837 -7.6281 1.1209 Er
-0.9740 -5.6122 -1.5919 Th
-2.7268 0.2031 -3.1166 Th
-3.4566 -2.4999 -5.3882 Th
-6.5295 -1.9463 0.0400 Th
-6.9507 -7.5825 -4.3051 Th
-3.1481 -5.4330 -7.4618 Th
```

Output
**E**: -6.36 eV/atom
**Excess energy over the best structure of this formula in the dataset**: 99 meV/atom
**Calculated volume**: 32.868 Å³ per atom
**N(E_F)**: 14.75 states/eV/f.u.
**E_form**: 0.20 eV per atom